A plane-wave DFT calculation with PBE-GGA was carried out for crystalline KMo2Se2 at its relaxed geometry.

a = 8.3845 Å, b = 8.3845 Å, c = 3.2451 Å
α = 90.00°, β = 90.00°, γ = 90.00°
Fractional positions:
K1 0.0000 0.0000 0.0000
K2 0.5000 0.5000 0.0000
Mo1 0.0927 0.4073 0.5000
Mo2 0.4073 0.9073 0.5000
Mo3 0.5927 0.0927 0.5000
Mo4 0.9073 0.5927 0.5000
Se1 0.1615 0.6615 0.0000
Se2 0.3385 0.1615 0.0000
Se3 0.6615 0.8385 0.0000
Se4 0.8385 0.3385 0.0000

Output
Crystal system: tetragonal
Energy relative to the elements, uncorrected, eV/atom: 0.229
Energy relative to the lowest polymorph listed for this composition, meV per atom: 597
Density of states at the Fermi level, states/eV/cell: 3.66
Total magnetization, μB per formula unit: 0.00
Electronic total energy, eV per formula unit: -28.584

=====

A plane-wave DFT calculation with PBE-GGA was carried out for crystalline HoAl3Ag3 at its relaxed geometry.

a = 6.9661 Å, b = 6.9661 Å, c = 6.9661 Å
α = 90.00°, β = 90.00°, γ = 90.00°
Fractional positions:
Ho1 0.0000 0.0000 0.0000
Ho2 0.5000 0.5000 0.5000
Al1 0.0000 0.2500 0.5000
Al2 0.0000 0.7500 0.5000
Al3 0.2500 0.5000 0.0000
Al4 0.5000 0.0000 0.2500
Al5 0.5000 0.0000 0.7500
Al6 0.7500 0.5000 0.0000
Ag1 0.0000 0.5000 0.2500
Ag2 0.0000 0.5000 0.7500
Ag3 0.2500 0.0000 0.5000
Ag4 0.5000 0.2500 0.0000
Ag5 0.5000 0.7500 0.0000
Ag6 0.7500 0.0000 0.5000

Output
Crystal system: cubic
Energy relative to the lowest polymorph listed for this composition, meV per atom: 426
Density of states at the Fermi level, states/eV/cell: 7.43
Total magnetization, μB per formula unit: 0.00
DFT formation energy, eV/atom: 0.33
Electronic total energy, eV per formula unit: -22.029

=====

A plane-wave DFT calculation with PBE-GGA was carried out for crystalline CsSrSiHO4 at its relaxed geometry.

a = 5.7675 Å, b = 8.2460 Å, c = 6.3561 Å
α = 90.00°, β = 116.69°, γ = 90.00°
Fractional positions:
Cs1 0.1504 0.0000 0.3853
Cs2 0.8496 0.5000 0.6147
Sr1 0.4708 0.7466 0.9006
Sr2 0.5292 0.2466 0.0994
Si1 0.1604 0.5643 0.2405
Si2 0.8396 0.0643 0.7595
H1 0.0219 0.3096 0.0883
H2 0.9781 0.8096 0.9117
O1 0.0048 0.8847 0.7926
O2 0.0651 0.1954 0.9212
O3 0.3000 0.6156 0.5184
O4 0.3672 0.5341 0.1298
O5 0.6328 0.0341 0.8702
O6 0.7000 0.1156 0.4816
O7 0.9349 0.6954 0.0788
O8 0.9952 0.3847 0.2074

Output
Crystal system: monoclinic
Density of states at the Fermi level, states/eV/cell: 0.00
Total magnetization, μB per formula unit: 0.00
Electronic total energy, eV per formula unit: -50.041

=====

A plane-wave DFT calculation with PBE-GGA was carried out for crystalline SiTe5 at its relaxed geometry.

a = 6.2355 Å, b = 6.2355 Å, c = 9.4488 Å
α = 98.81°, β = 98.81°, γ = 36.79°
Fractional positions:
Si1 0.0000 0.0000 0.0000
Te1 0.0791 0.0791 0.4471
Te2 0.4590 0.4590 0.7927
Te3 0.4618 0.4618 0.2400
Te4 0.6723 0.6723 0.7028
Te5 0.7857 0.7857 0.0302

Output
Crystal system: monoclinic
Energy relative to the elements, uncorrected, eV/atom: 0.180
Energy relative to the lowest polymorph listed for this composition, meV per atom: 71
Density of states at the Fermi level, states/eV/cell: 2.82
Total magnetization, μB per formula unit: 0.00
Electronic total energy, eV per formula unit: -20.052

=====

A plane-wave DFT calculation with PBE-GGA was carried out for crystalline CdP2Ir at its relaxed geometry.

a = 2.8452 Å, b = 2.8452 Å, c = 10.2964 Å
α = 90.00°, β = 90.00°, γ = 121.68°
Fractional positions:
Cd1 0.0000 0.0000 0.0000
P1 0.5000 0.5000 0.3012
P2 0.5000 0.5000 0.6988
Ir1 0.0000 0.0000 0.5000

Output
Crystal system: orthorhombic
Density of states at the Fermi level, states/eV/cell: 2.71
Total magnetization, μB per formula unit: 0.00
DFT formation energy, eV/atom: 0.27
Electronic total energy, eV per formula unit: -19.513

=====

A plane-wave DFT calculation with PBE-GGA was carried out for crystalline AcTbYSe3 at its relaxed geometry.

a = 8.1886 Å, b = 4.1816 Å, c = 10.4653 Å
α = 90.00°, β = 104.56°, γ = 90.00°
Fractional positions:
Ac1 0.1887 0.2500 0.2125
Ac2 0.8113 0.7500 0.7875
Tb1 0.3368 0.7500 0.9070
Tb2 0.6632 0.2500 0.0930
Y1 0.1682 0.2500 0.6248
Y2 0.8318 0.7500 0.3752
Se1 0.0970 0.2500 0.8904
Se2 0.2019 0.7500 0.4464
Se3 0.4833 0.7500 0.1940
Se4 0.5167 0.2500 0.8060
Se5 0.7981 0.2500 0.5536
Se6 0.9030 0.7500 0.1096

Output
Crystal system: monoclinic
Energy relative to the elements, uncorrected, eV/atom: -1.667
Density of states at the Fermi level, states/eV/cell: 6.92
Total magnetization, μB per formula unit: 0.44
Electronic total energy, eV per formula unit: -35.659

=====

A plane-wave DFT calculation with PBE-GGA was carried out for crystalline Hg2SeBrCl at its relaxed geometry.

a = 7.2787 Å, b = 7.2787 Å, c = 11.7481 Å
α = 112.33°, β = 112.33°, γ = 35.66°
Fractional positions:
Hg1 0.0613 0.0613 0.3741
Hg2 0.3533 0.3533 0.1494
Hg3 0.6467 0.6467 0.8506
Hg4 0.9387 0.9387 0.6259
Se1 0.4505 0.4505 0.7542
Se2 0.5495 0.5495 0.2458
Br1 0.1582 0.1582 0.6216
Br2 0.8418 0.8418 0.3784
Cl1 0.1656 0.1656 0.0551
Cl2 0.8344 0.8344 0.9449

Output
Crystal system: monoclinic
Energy relative to the elements, uncorrected, eV/atom: -0.411
Total magnetization, μB per formula unit: 0.00
Electronic total energy, eV per formula unit: -9.664

=====

A plane-wave DFT calculation with PBE-GGA was carried out for crystalline YTlPt4 at its relaxed geometry.

a = 5.4343 Å, b = 5.4343 Å, c = 5.4343 Å
α = 60.00°, β = 60.00°, γ = 60.00°
Fractional positions:
Y1 0.0000 0.0000 0.0000
Tl1 0.2500 0.2500 0.2500
Pt1 0.1257 0.6248 0.6248
Pt2 0.6248 0.1257 0.6248
Pt3 0.6248 0.6248 0.1257
Pt4 0.6248 0.6248 0.6248

Output
Crystal system: cubic
Density of states at the Fermi level, states/eV/cell: 3.13
Total magnetization, μB per formula unit: 0.00
DFT formation energy, eV/atom: -0.72
Electronic total energy, eV per formula unit: -37.319